[1]
Entry from Alexandria via LeMat-Bulk: a geometry-optimized K2Ga2Cl7 structure (PBE-GGA).

The structure in POSCAR format:
```
K2Ga2Cl7
1.0
15.532 0.000 0.000
0.000 6.365 0.015
0.000 1.101 7.844
Ga Cl K
4 14 4
direct
0.111 0.840 0.346
0.889 0.160 0.654
0.611 0.160 0.154
0.389 0.840 0.846
0.000 0.000 0.500
0.173 0.562 0.514
0.946 0.287 0.886
0.500 0.000 0.000
0.716 0.931 0.263
0.673 0.438 0.986
0.327 0.562 0.014
0.827 0.438 0.486
0.216 0.069 0.237
0.284 0.069 0.737
0.446 0.713 0.614
0.554 0.287 0.386
0.784 0.931 0.763
0.054 0.713 0.114
0.148 0.367 0.906
0.852 0.633 0.094
0.352 0.367 0.406
0.648 0.633 0.594
```

Space-group type = P2_1/c
Formation energy from raw total energies = -1.354 eV/atom

***

[2]
Entry from Alexandria via LeMat-Bulk: a geometry-optimized LiAc2Al4Ge3 structure (PBE-GGA).

The structure in POSCAR format:
```
LiAc2Al4Ge3
1.0
4.326 0.000 0.000
0.000 4.326 0.000
0.000 0.000 11.778
Ge Al Ac Li
3 4 2 1
direct
0.500 0.000 0.862
0.000 0.500 0.138
0.000 0.000 0.500
0.000 0.000 0.000
0.500 0.000 0.631
0.500 0.500 0.000
0.000 0.500 0.369
0.000 0.500 0.751
0.500 0.000 0.249
0.500 0.500 0.500
```

Space-group type = P-4m2
Energy of formation = -332.7 kJ/mol of formula units

***

[3]
Entry from Alexandria via LeMat-Bulk: a geometry-optimized SrLiCdPt structure (PBE-GGA).

The structure in POSCAR format:
```
SrLiCdPt
1.0
-0.816 2.225 3.879
0.668 -4.497 0.056
5.179 3.062 -0.667
Cd Sr Pt Li
1 1 1 1
direct
0.824 0.647 0.113
0.624 0.248 0.513
0.419 0.838 0.900
0.100 0.199 0.941
```

Space-group type = R3m
Energy of formation = -203.6 kJ/mol of formula units

***

[4]
Entry from Alexandria via LeMat-Bulk: a geometry-optimized NbGeAs3 structure (PBE-GGA).

The structure in POSCAR format:
```
NbGeAs3
1.0
5.008 0.000 0.000
0.000 5.008 0.000
0.000 0.000 5.008
Nb As Ge
1 3 1
direct
0.000 0.000 0.000
0.500 0.000 0.000
0.000 0.000 0.500
0.000 0.500 0.000
0.500 0.500 0.500
```

Space-group type = Pm-3m
Energy of formation = 217.3 kJ/mol of formula units

***

Short version: M_tot = 1.78; 0.00; 0.00; 0.00 Bohr magnetons per cell, in the order given.